(1)
{
  "formula": "NiPtCl2",
  "functional": "GGA-PBEsol",
  "state": "relaxed",
  "lattice": [[2.963, 0.000, 0.000], [0.000, 3.820, 0.000], [0.000, 0.000, 5.721]],
  "species": ["Ni", "Pt", "Cl", "Cl"],
  "frac_coords": [[0.000, 0.000, 0.000], [0.500, 0.000, 0.500], [0.000, 0.500, 0.500], [0.500, 0.500, 0.000]],
  "total_magnetization_mub_per_cell": 0.9,
  "spacegroup": "No. 47",
  "vol_a3_per_fu": 64.8,
  "e_above_lowest_polymorph_kj_per_mol_atoms": 4.0
}

(2)
{
  "formula": "Rb2AgCl3",
  "functional": "GGA-PBEsol",
  "state": "relaxed",
  "lattice": [[9.108, 0.000, 0.000], [0.000, 4.401, 0.000], [0.000, 0.000, 17.629]],
  "species": ["Rb", "Rb", "Rb", "Rb", "Rb", "Rb", "Rb", "Rb", "Ag", "Ag", "Ag", "Ag", "Cl", "Cl", "Cl", "Cl", "Cl", "Cl", "Cl", "Cl", "Cl", "Cl", "Cl", "Cl"],
  "frac_coords": [[0.080, 0.250, 0.214], [0.243, 0.250, 0.957], [0.257, 0.750, 0.457], [0.420, 0.750, 0.714], [0.580, 0.250, 0.286], [0.743, 0.250, 0.543], [0.757, 0.750, 0.043], [0.920, 0.750, 0.786], [0.125, 0.250, 0.632], [0.375, 0.750, 0.132], [0.625, 0.250, 0.868], [0.875, 0.750, 0.368], [0.002, 0.250, 0.402], [0.121, 0.750, 0.073], [0.183, 0.250, 0.774], [0.317, 0.750, 0.274], [0.379, 0.250, 0.573], [0.498, 0.750, 0.902], [0.502, 0.250, 0.098], [0.621, 0.750, 0.427], [0.683, 0.250, 0.726], [0.817, 0.750, 0.226], [0.879, 0.250, 0.927], [0.998, 0.750, 0.598]],
  "final_energy_ev_per_atom": -3.336,
  "total_magnetization_mub_per_cell": 0.0,
  "spacegroup": "No. 62",
  "vol_a3_per_fu": 176.7
}

| no. | N(E_F) (states/eV/f.u.) |
| --- | --- |
| 1 | 4.53 |
| 2 | 0.00 |